No. 1
# SCAN CsTc2S2, PBEsol geometry
data_CsTc2S2
_symmetry_space_group_name_H-M 'I 4/m m m'
_symmetry_Int_Tables_number 139
_symmetry_space_group_name_Hall '-I 4 2'
_cell_length_a 4.6271
_cell_length_b 4.6271
_cell_length_c 8.7508
_cell_angle_alpha 90.00
_cell_angle_beta 90.00
_cell_angle_gamma 90.00
loop_
_atom_site_label
_atom_site_fract_x
_atom_site_fract_y
_atom_site_fract_z
Cs1 0.0000 0.0000 0.0000
Tc1 0.0000 0.0000 0.3732
S1 0.0000 0.5000 0.2500
# N(E_F) = 6.2 states/eV/cell
# raw total energy = -25.387 eV/atom

No. 2
# SCAN MgTiI2, PBEsol geometry
data_MgTiI2
_symmetry_space_group_name_H-M 'I -4 2 d'
_symmetry_Int_Tables_number 122
_symmetry_space_group_name_Hall 'I -4 2bw'
_cell_length_a 9.5255
_cell_length_b 9.5255
_cell_length_c 5.9225
_cell_angle_alpha 90.00
_cell_angle_beta 90.00
_cell_angle_gamma 90.00
loop_
_atom_site_label
_atom_site_fract_x
_atom_site_fract_y
_atom_site_fract_z
Mg1 0.0000 0.0000 0.0000
Ti1 0.0000 0.0000 0.5000
I1 0.1156 0.7500 0.6250
# N(E_F) = 9.8 states/eV/cell
# raw total energy = -23.774 eV/atom

No. 3
# SCAN Bi3RuI, PBEsol geometry
data_Bi3RuI
_symmetry_space_group_name_H-M 'P m -3 m'
_symmetry_Int_Tables_number 221
_symmetry_space_group_name_Hall '-P 4 2 3'
_cell_length_a 5.7493
_cell_length_b 5.7493
_cell_length_c 5.7493
_cell_angle_alpha 90.00
_cell_angle_beta 90.00
_cell_angle_gamma 90.00
loop_
_atom_site_label
_atom_site_fract_x
_atom_site_fract_y
_atom_site_fract_z
Bi1 0.0000 0.0000 0.5000
Ru1 0.5000 0.5000 0.5000
I1 0.0000 0.0000 0.0000
# N(E_F) = 6.5 states/eV/cell
# raw total energy = -59.521 eV/atom

No. 4
# SCAN SrYZn2O, PBEsol geometry
data_SrYZn2O
_symmetry_space_group_name_H-M 'P 4/m m m'
_symmetry_Int_Tables_number 123
_symmetry_space_group_name_Hall '-P 4 2'
_cell_length_a 5.4856
_cell_length_b 5.4856
_cell_length_c 4.3426
_cell_angle_alpha 90.00
_cell_angle_beta 90.00
_cell_angle_gamma 90.00
loop_
_atom_site_label
_atom_site_fract_x
_atom_site_fract_y
_atom_site_fract_z
Sr1 0.0000 0.0000 0.0000
Y1 0.5000 0.5000 0.5000
Zn1 0.0000 0.5000 0.0000
O1 0.0000 0.0000 0.5000
# N(E_F) = 2.8 states/eV/cell
# raw total energy = -16.743 eV/atom

No. 5
# SCAN Zr2IrPb, PBEsol geometry
data_Zr2IrPb
_symmetry_space_group_name_H-M 'P 4/m m m'
_symmetry_Int_Tables_number 123
_symmetry_space_group_name_Hall '-P 4 2'
_cell_length_a 4.3138
_cell_length_b 4.3138
_cell_length_c 4.1664
_cell_angle_alpha 90.00
_cell_angle_beta 90.00
_cell_angle_gamma 90.00
loop_
_atom_site_label
_atom_site_fract_x
_atom_site_fract_y
_atom_site_fract_z
Zr1 0.0000 0.5000 0.0000
Ir1 0.0000 0.0000 0.5000
Pb1 0.5000 0.5000 0.5000
# formation energy from the elements = -451 meV/atom
# N(E_F) = 4.0 states/eV/cell
# raw total energy = -52.521 eV/atom

No. 6
# SCAN BeCdAs2Br, PBEsol geometry
data_BeCdAs2Br
_symmetry_space_group_name_H-M 'P 4/m m m'
_symmetry_Int_Tables_number 123
_symmetry_space_group_name_Hall '-P 4 2'
_cell_length_a 4.2108
_cell_length_b 4.2108
_cell_length_c 6.4514
_cell_angle_alpha 90.00
_cell_angle_beta 90.00
_cell_angle_gamma 90.00
loop_
_atom_site_label
_atom_site_fract_x
_atom_site_fract_y
_atom_site_fract_z
Be1 0.0000 0.0000 0.0000
Cd1 0.5000 0.5000 0.5000
As1 0.0000 0.5000 0.0000
Br1 0.0000 0.0000 0.5000
# N(E_F) = 2.4 states/eV/cell
# raw total energy = -18.596 eV/atom